# Mn2CuO4 | the Alexandria database | PBE with a Hubbard U | relaxed
# **Energy above the most stable polymorph in this dataset**: 67 meV per atom
# **E_tot**: -6.768 eV/atom
data_Mn2CuO4
_cell_length_a 5.7889
_cell_length_b 5.8779
_cell_length_c 9.3592
_cell_angle_alpha 90.00
_cell_angle_beta 90.00
_cell_angle_gamma 90.00
_space_group_name_H-M_alt 'I m m a'
_space_group_IT_number 74
_space_group_name_Hall '-I 2b 2'
loop_
_atom_site_label
_atom_site_fract_x
_atom_site_fract_y
_atom_site_fract_z
Mn1 0.0000 0.0000 0.0000
Mn2 0.0000 0.2500 0.3524
Cu1 0.2500 0.2500 0.7500
O1 0.0000 0.0286 0.7853
O2 0.2234 0.2500 0.0128